# NaCuSeO2

A relaxed structure of NaCuSeO2 (PBE, the Alexandria database).

Unit cell a=4.0193 b=4.0193 c=4.8007 alpha=90.00 beta=90.00 gamma=90.00
Element x y z (fractional)
Na1 0.0000 0.0000 0.0000
Cu1 0.0000 0.0000 0.5000
Se1 0.5000 0.5000 0.5000
O1 0.0000 0.5000 0.0000
O2 0.5000 0.0000 0.0000

Results
The magnetization is 0.00 Bohr magnetons per cell. As for the uncorrected formation energy: 409 kJ/mol of formula units. Its space group is P4/mmm. The raw total energy comes out at -2.92 eV/atom.

=====

# NaCuSeO4

A relaxed structure of NaCuSeO4 (PBE, the Alexandria database).

Unit cell a=5.4231 b=5.4231 c=5.4231 alpha=119.79 beta=119.79 gamma=90.36
Element x y z (fractional)
Na1 0.0000 0.0000 0.0000
Cu1 0.5000 0.5000 0.0000
Se1 0.7500 0.2500 0.5000
O1 0.0810 0.5337 0.8644
O2 0.4663 0.3307 0.5473
O3 0.6693 0.2166 0.1356
O4 0.7834 0.9190 0.4527

Results
The magnetization is 0.09 Bohr magnetons per cell. As for the uncorrected formation energy: -592 kJ/mol of formula units. Its space group is I-4. The raw total energy comes out at -4.98 eV/atom.

=====

# Na2CuSe2O10

A relaxed structure of Na2CuSe2O10 (PBE, the Alexandria database).

Unit cell a=5.2760 b=6.5756 c=7.3085 alpha=70.12 beta=78.79 gamma=70.25
Element x y z (fractional)
Na1 0.1770 0.2390 0.2059
Na2 0.8230 0.7610 0.7941
Cu1 0.5000 0.5000 0.5000
Se1 0.1502 0.1725 0.7326
Se2 0.8498 0.8275 0.2674
O1 0.0517 0.3580 0.8654
O2 0.1110 0.8630 0.3336
O3 0.3008 0.3050 0.5088
O4 0.3468 0.5454 0.7262
O5 0.3608 0.9349 0.8482
O6 0.6392 0.0651 0.1518
O7 0.6532 0.4546 0.2738
O8 0.6992 0.6950 0.4912
O9 0.8890 0.1370 0.6664
O10 0.9483 0.6420 0.1346

Results
The magnetization is 3.10 Bohr magnetons per cell. As for the uncorrected formation energy: -903 kJ/mol of formula units. Its space group is P-1. The raw total energy comes out at -4.84 eV/atom.

=====

# NaCu2Se2O10

A relaxed structure of NaCu2Se2O10 (PBE, the Alexandria database).

Unit cell a=5.6890 b=5.6890 c=8.3267 alpha=116.79 beta=116.79 gamma=65.89
Element x y z (fractional)
Na1 0.0000 0.0000 0.0000
Cu1 0.0000 0.5000 0.5000
Cu2 0.5000 0.0000 0.5000
Se1 0.4207 0.4207 0.2040
Se2 0.5793 0.5793 0.7960
O1 0.1775 0.1775 0.5399
O2 0.2287 0.6823 0.7383
O3 0.2926 0.2926 0.9728
O4 0.3177 0.7713 0.2617
O5 0.3222 0.3222 0.3185
O6 0.6778 0.6778 0.6815
O7 0.6823 0.2287 0.7383
O8 0.7074 0.7074 0.0272
O9 0.7713 0.3177 0.2617
O10 0.8225 0.8225 0.4601

Results
The magnetization is 0.99 Bohr magnetons per cell. As for the uncorrected formation energy: -835 kJ/mol of formula units. Its space group is C2/m. The raw total energy comes out at -4.98 eV/atom.

=====

# Na2CuSiO4

A relaxed structure of Na2CuSiO4 (PBE, the Alexandria database).

Unit cell a=10.0374 b=8.7646 c=6.0940 alpha=82.90 beta=60.05 gamma=37.05
Element x y z (fractional)
Na1 0.0654 0.0654 0.6846
Na2 0.3154 0.3154 0.9346
Na3 0.6846 0.6846 0.0654
Na4 0.9346 0.9346 0.3154
Cu1 0.1250 0.1250 0.1250
Cu2 0.8750 0.8750 0.8750
Si1 0.3750 0.3750 0.3750
Si2 0.6250 0.6250 0.6250
O1 0.0264 0.6401 0.5317
O2 0.3018 0.5317 0.6401
O3 0.3599 0.9736 0.6982
O4 0.4683 0.6982 0.9736
O5 0.5317 0.3018 0.0264
O6 0.6401 0.0264 0.3018
O7 0.6982 0.4683 0.3599
O8 0.9736 0.3599 0.4683

Results
The magnetization is 2.04 Bohr magnetons per cell. As for the uncorrected formation energy: -1230 kJ/mol of formula units. Its space group is Fddd. The raw total energy comes out at -5.59 eV/atom.

=====

# NaCu2SiO4

A relaxed structure of NaCu2SiO4 (PBE, the Alexandria database).

Unit cell a=4.9224 b=4.9224 c=4.9224 alpha=115.09 beta=115.09 gamma=98.73
Element x y z (fractional)
Na1 0.0000 0.0000 0.0000
Cu1 0.2500 0.7500 0.5000
Cu2 0.7500 0.2500 0.5000
Si1 0.5000 0.5000 0.0000
O1 0.1693 0.1693 0.6366
O2 0.4673 0.8307 0.0000
O3 0.5327 0.5327 0.3634
O4 0.8307 0.4673 0.0000

Results
The magnetization is 1.01 Bohr magnetons per cell. As for the uncorrected formation energy: -1208 kJ/mol of formula units. Its space group is I-42m. The raw total energy comes out at -5.91 eV/atom.

=====

# NaCuSi2O

A relaxed structure of NaCuSi2O (PBE, the Alexandria database).

Unit cell a=4.1090 b=4.1090 c=4.2725 alpha=90.00 beta=90.00 gamma=90.00
Element x y z (fractional)
Na1 0.0000 0.0000 0.0000
Cu1 0.5000 0.5000 0.0000
Si1 0.0000 0.5000 0.5000
Si2 0.5000 0.0000 0.5000
O1 0.0000 0.0000 0.5000

Results
The magnetization is 0.00 Bohr magnetons per cell. As for the uncorrected formation energy: -12 kJ/mol of formula units. Its space group is P4/mmm. The raw total energy comes out at -4.27 eV/atom.

=====

# NaSm2CuO5

A relaxed structure of NaSm2CuO5 (PBE, the Alexandria database).

Unit cell a=6.6478 b=6.6478 c=5.5914 alpha=90.00 beta=90.00 gamma=90.00
Element x y z (fractional)
Na1 0.0000 0.0000 0.0000
Na2 0.5000 0.5000 0.0000
Sm1 0.1770 0.3230 0.5000
Sm2 0.3230 0.8230 0.5000
Sm3 0.6770 0.1770 0.5000
Sm4 0.8230 0.6770 0.5000
Cu1 0.0000 0.5000 0.0000
Cu2 0.5000 0.0000 0.0000
O1 0.0000 0.0000 0.5000
O2 0.1322 0.6322 0.2409
O3 0.1322 0.6322 0.7591
O4 0.3678 0.1322 0.2409
O5 0.3678 0.1322 0.7591
O6 0.5000 0.5000 0.5000
O7 0.6322 0.8678 0.2409
O8 0.6322 0.8678 0.7591
O9 0.8678 0.3678 0.2409
O10 0.8678 0.3678 0.7591

Results
The magnetization is 0.00 Bohr magnetons per cell. As for the uncorrected formation energy: -1983 kJ/mol of formula units. Its space group is P4/mbm. The raw total energy comes out at -6.69 eV/atom.

=====

Which value of uncorrected formation energy does entry 5 give? -1230 kJ/mol of formula units

=====

Which formula does entry 1 have? NaCuSeO2

=====

What is the raw total energy in the fourth record? -4.98 eV/atom

=====

Among the records above, which one has the highest raw total energy? NaCuSeO2